Entry 1:
Density functional theory data (GGA-PBE) for an optimized crystal structure of TlHg2Pd2.

Output
The value obtained for the relative energy among the computed polymorphs is 0.000 eV per atom. For the density of states at the Fermi level, the calculation gives 4.412 states/eV per cell. For the formation enthalpy at 0 K, the calculation gives -0.55 eV per formula unit.

Unit cell a=7.406 b=7.406 c=3.741 alpha=90.00 beta=90.00 gamma=90.00
Space group P4/mbm (No. 127)
Symmetry-distinct sites (fractional):
1 Tl 0.000 0.000 0.000 [2 per cell]
2 Hg 0.154 0.346 0.500 [4 per cell]
3 Pd 0.143 0.643 0.000 [4 per cell]


Entry 2:
Density functional theory data (GGA-PBE) for an optimized crystal structure of PrH6Pd3.

Output
For the density of states at the Fermi level, the calculation gives 3.796 states/eV per cell. For the energy, the calculation gives -85.839 eV for the cell shown.

Unit cell a=7.006 b=3.619 c=8.332 alpha=90.00 beta=113.40 gamma=90.00
Space group P2_1/m (No. 11)
Symmetry-distinct sites (fractional):
1 Pr 0.228 0.250 0.165 [2 per cell]
2 H 0.017 0.750 0.163 [2 per cell]
3 H 0.082 0.250 0.444 [2 per cell]
4 H 0.168 0.750 0.983 [2 per cell]
5 H 0.357 0.750 0.405 [2 per cell]
6 H 0.392 0.750 0.684 [2 per cell]
7 H 0.410 0.250 0.933 [2 per cell]
8 Pd 0.007 0.250 0.640 [2 per cell]
9 Pd 0.336 0.750 0.869 [2 per cell]
10 Pd 0.389 0.250 0.577 [2 per cell]


Entry 3:
Density functional theory data (GGA-PBE) for an optimized crystal structure of AlPbClO2.

Output
For the density of states at the Fermi level, the calculation gives 0.000 states/eV per cell. The value obtained for the uncorrected formation energy is -1960 meV per atom.

Unit cell a=7.177 b=3.802 c=7.505 alpha=90.00 beta=101.56 gamma=90.00
Space group P2_1/m (No. 11)
Symmetry-distinct sites (fractional):
1 Al 0.067 0.250 0.141 [2 per cell]
2 Pb 0.206 0.250 0.638 [2 per cell]
3 Cl 0.381 0.250 0.231 [2 per cell]
4 O 0.005 0.750 0.109 [2 per cell]
5 O 0.019 0.750 0.647 [2 per cell]


Entry 4:
Density functional theory data (GGA-PBE) for an optimized crystal structure of KIn3Hg.

Output
The value obtained for the relative energy among the computed polymorphs is 0.910 eV per atom. For the density of states at the Fermi level, the calculation gives 7.630 states/eV per cell. For the formation enthalpy at 0 K, the calculation gives 3.86 eV per formula unit.

Unit cell a=6.307 b=6.307 c=6.307 alpha=90.00 beta=90.00 gamma=90.00
Space group Pm-3m (No. 221)
Symmetry-distinct sites (fractional):
1 K 0.000 0.000 0.000 [1 per cell]
2 In 0.000 0.000 0.500 [3 per cell]
3 Hg 0.500 0.500 0.500 [1 per cell]


Entry 5:
Density functional theory data (GGA-PBE) for an optimized crystal structure of TmGeF.

Output
The value obtained for the relative energy among the computed polymorphs is 0.000 eV per atom. For the density of states at the Fermi level, the calculation gives 3.513 states/eV per cell. The value obtained for the uncorrected formation energy is -1858 meV per atom.

Unit cell a=3.472 b=5.107 c=13.005 alpha=90.00 beta=90.00 gamma=90.00
Space group Immm (No. 71)
Symmetry-distinct sites (fractional):
1 Tm 0.000 0.000 0.149 [4 per cell]
2 Ge 0.000 0.243 0.500 [4 per cell]
3 F 0.000 0.500 0.238 [4 per cell]


Entry 6:
Density functional theory data (GGA-PBE) for an optimized crystal structure of Nd2Sm4Hg5.

Output
For the density of states at the Fermi level, the calculation gives 27.304 states/eV per cell. For the formation enthalpy at 0 K, the calculation gives -4.22 eV per formula unit.

Unit cell a=8.415 b=20.111 c=3.710 alpha=90.00 beta=90.00 gamma=90.00
Space group Pbam (No. 55)
Symmetry-distinct sites (fractional):
1 Nd 0.010 0.208 0.000 [4 per cell]
2 Sm 0.107 0.626 0.000 [4 per cell]
3 Sm 0.207 0.950 0.000 [4 per cell]
4 Hg 0.000 0.500 0.500 [2 per cell]
5 Hg 0.103 0.075 0.500 [4 per cell]
6 Hg 0.191 0.317 0.500 [4 per cell]


no.,V (Å³ per atom)
1,20.52
2,9.69
3,20.06
4,50.18
5,19.21
6,28.54